1.
A plane-wave DFT calculation with GGA-PBE was carried out for crystalline SmGd2Hf at its relaxed geometry.

Cell lengths 3.363, 3.363, 36.399 Å; angles 90.00, 90.00, 120.00 degrees
Fractional coordinates of all 12 atoms:
Sm  0.000  0.000  0.000
Sm  0.333  0.667  0.667
Sm  0.667  0.333  0.333
Gd  0.000  0.000  0.415
Gd  0.000  0.000  0.585
Gd  0.333  0.667  0.082
Gd  0.333  0.667  0.252
Gd  0.667  0.333  0.748
Gd  0.667  0.333  0.918
Hf  0.000  0.000  0.500
Hf  0.333  0.667  0.167
Hf  0.667  0.333  0.833

- Space group: R-3m, No. 166
- Spin magnetization: 15.06 μB per formula unit
- DOS(E_F): 16.0 states/eV/cell
- E above lowest polymorph: 25.0 kJ per mole of atoms
- ΔE_f: 0.373 eV/atom

2.
A plane-wave DFT calculation with GGA-PBE was carried out for crystalline SmGd2Hf at its relaxed geometry.

Cell lengths 3.423, 3.423, 10.072 Å; angles 90.00, 90.00, 90.00 degrees
Fractional coordinates of all 4 atoms:
Sm  0.000  0.000  0.000
Gd  0.500  0.500  0.274
Gd  0.500  0.500  0.726
Hf  0.000  0.000  0.500

- Space group: P4/mmm, No. 123
- Spin magnetization: 14.33 μB per formula unit
- DOS(E_F): 5.9 states/eV/cell
- E above lowest polymorph: 0.0 kJ per mole of atoms
- ΔE_f: 0.114 eV/atom

3.
A plane-wave DFT calculation with GGA-PBE was carried out for crystalline GdHfSn2 at its relaxed geometry.

Cell lengths 3.870, 3.870, 6.610 Å; angles 90.00, 90.00, 90.00 degrees
Fractional coordinates of all 4 atoms:
Gd  0.000  0.000  0.000
Hf  0.000  0.000  0.500
Sn  0.500  0.500  0.276
Sn  0.500  0.500  0.724

- Space group: P4/mmm, No. 123
- Spin magnetization: 7.28 μB per formula unit
- DOS(E_F): 3.3 states/eV/cell
- E above lowest polymorph: 0.0 kJ per mole of atoms
- ΔE_f: -0.391 eV/atom

4.
A plane-wave DFT calculation with GGA-PBE was carried out for crystalline GdHfSn2 at its relaxed geometry.

Cell lengths 4.709, 4.709, 4.383 Å; angles 90.00, 90.00, 90.00 degrees
Fractional coordinates of all 4 atoms:
Gd  0.000  0.000  0.000
Hf  0.500  0.500  0.000
Sn  0.000  0.500  0.500
Sn  0.500  0.000  0.500

- Space group: P4/mmm, No. 123
- Spin magnetization: 7.30 μB per formula unit
- DOS(E_F): 3.4 states/eV/cell
- E above lowest polymorph: 2.1 kJ per mole of atoms
- ΔE_f: -0.369 eV/atom